Entry 1:
This record from Alexandria via LeMat-Bulk describes an optimized crystal structure of CrCd3Os. The functional is PBE-GGA.

Lattice parameters (Å, degrees): 5.1142 5.1142 5.1142 90.00 90.00 90.00
Space group Pm-3m (No. 221)
Unique sites:
Cr  0.0000  0.0000  0.0000 (multiplicity 1)
Cd  0.0000  0.5000  0.5000 (multiplicity 3)
Os  0.5000  0.5000  0.5000 (multiplicity 1)

ΔH_f (0 K), kcal/mol of atoms: 38.7
VASP energy, eV per atom: -3.0404
E above lowest polymorph, eV per formula unit: 0.00


Entry 2:
This record from Alexandria via LeMat-Bulk describes an optimized crystal structure of Ga3CoBi. The functional is PBE-GGA.

Lattice parameters (Å, degrees): 4.6708 4.6708 4.6708 90.00 90.00 90.00
Space group Pm-3m (No. 221)
Unique sites:
Ga  0.0000  0.0000  0.5000 (multiplicity 3)
Co  0.0000  0.0000  0.0000 (multiplicity 1)
Bi  0.5000  0.5000  0.5000 (multiplicity 1)

ΔH_f (0 K), kcal/mol of atoms: 1.6
VASP energy, eV per atom: -3.9451
E above lowest polymorph, eV per formula unit: 0.00


Entry 3:
This record from Alexandria via LeMat-Bulk describes an optimized crystal structure of SrTa2ReH. The functional is PBE-GGA.

Lattice parameters (Å, degrees): 5.1349 5.1349 3.2964 90.00 90.00 90.00
Space group P4/mmm (No. 123)
Unique sites:
Sr  0.0000  0.0000  0.0000 (multiplicity 1)
Ta  0.0000  0.5000  0.0000 (multiplicity 2)
Re  0.5000  0.5000  0.5000 (multiplicity 1)
H  0.0000  0.0000  0.5000 (multiplicity 1)

VASP energy, eV per atom: -6.0603


The records above give, respectively, Fermi-level density of states values of 2.67 0.96 1.02 states/eV per atom.